Below is an optimized crystal structure of NaPmErIn, with properties calculated at the PBE-GGA level.

Unit cell a=7.6870 b=7.6870 c=7.6870 alpha=90.00 beta=90.00 gamma=90.00
Space group F-43m (No. 216)
Symmetry-distinct sites (fractional):
Na: 0.0000 0.0000 0.0000 (multiplicity 4)
Pm: 0.2500 0.2500 0.7500 (multiplicity 4)
Er: 0.2500 0.2500 0.2500 (multiplicity 4)
In: 0.0000 0.0000 0.5000 (multiplicity 4)

Calculated values
**DFT total energy**: -3.471 eV per atom
**Calculated volume**: 454.2 Å³/cell
**DOS at the Fermi energy**: 1.09 states/eV/atom

Below is an optimized crystal structure of Sr2LiGaHg6, with properties calculated at the PBE-GGA level.

Unit cell a=10.3764 b=10.4104 c=7.3401 alpha=90.00 beta=134.83 gamma=90.00
Space group C2/m (No. 12)
Symmetry-distinct sites (fractional):
Sr: 0.0000 0.2499 0.0000 (multiplicity 4)
Li: 0.0000 0.0000 0.5000 (multiplicity 2)
Ga: 0.0000 0.5000 0.5000 (multiplicity 2)
Hg: 0.0000 0.2412 0.5000 (multiplicity 4)
Hg: 0.2410 0.0000 0.5000 (multiplicity 4)
Hg: 0.2411 0.0000 0.9821 (multiplicity 4)

Calculated values
**DFT total energy**: -1.274 eV per atom
**Calculated volume**: 562.4 Å³/cell
**DOS at the Fermi energy**: 0.45 states/eV/atom

Below is an optimized crystal structure of Sm2CdAu3, with properties calculated at the PBE-GGA level.

Unit cell a=5.0963 b=5.0963 c=12.3752 alpha=90.00 beta=90.00 gamma=120.00
Space group P-3m1 (No. 164)
Symmetry-distinct sites (fractional):
Sm: 0.0000 0.0000 0.0000 (multiplicity 1)
Sm: 0.0000 0.0000 0.5000 (multiplicity 1)
Sm: 0.3333 0.6667 0.1873 (multiplicity 2)
Cd: 0.3333 0.6667 0.6694 (multiplicity 2)
Au: 0.0000 0.0000 0.2470 (multiplicity 2)
Au: 0.3333 0.6667 0.4312 (multiplicity 2)
Au: 0.3333 0.6667 0.9326 (multiplicity 2)

Calculated values
**DFT total energy**: -4.071 eV per atom
**Energy above the most stable polymorph in this dataset**: 0.000 eV per atom
**Calculated volume**: 278.4 Å³/cell
**DOS at the Fermi energy**: 0.55 states/eV/atom

Below is an optimized crystal structure of Sm2BeB10, with properties calculated at the PBE-GGA level.

Unit cell a=5.5933 b=11.0355 c=4.1518 alpha=90.00 beta=90.00 gamma=90.00
Space group Pbam (No. 55)
Symmetry-distinct sites (fractional):
Sm: 0.1924 0.1347 0.0000 (multiplicity 4)
Be: 0.0000 0.5000 0.5000 (multiplicity 2)
B: 0.0265 0.3141 0.5000 (multiplicity 4)
B: 0.1277 0.9599 0.5000 (multiplicity 4)
B: 0.1643 0.8026 0.5000 (multiplicity 4)
B: 0.1960 0.3888 0.2007 (multiplicity 8)

Calculated values
**DFT total energy**: -6.622 eV per atom
**Calculated volume**: 256.3 Å³/cell
**DOS at the Fermi energy**: 0.12 states/eV/atom

Below is an optimized crystal structure of Hf6Ti2Mn, with properties calculated at the PBE-GGA level.

Unit cell a=14.8579 b=8.3282 c=2.9765 alpha=90.00 beta=90.16 gamma=90.00
Space group C2/m (No. 12)
Symmetry-distinct sites (fractional):
Hf: 0.0000 0.1893 0.0000 (multiplicity 4)
Hf: 0.1628 0.3235 0.5010 (multiplicity 8)
Ti: 0.1756 0.0000 0.9981 (multiplicity 4)
Mn: 0.0000 0.5000 0.5000 (multiplicity 2)

Calculated values
**DFT total energy**: -9.161 eV per atom
**Calculated volume**: 368.3 Å³/cell
**DOS at the Fermi energy**: 1.38 states/eV/atom

Below is an optimized crystal structure of Tb3Sm9Y2, with properties calculated at the PBE-GGA level.

Unit cell a=9.0479 b=9.0479 c=13.8747 alpha=90.00 beta=90.00 gamma=120.00
Space group P6_3/m (No. 176)
Symmetry-distinct sites (fractional):
Tb: 0.0808 0.2510 0.2500 (multiplicity 6)
Sm: 0.0832 0.4817 0.7500 (multiplicity 6)
Sm: 0.1321 0.7235 0.5425 (multiplicity 12)
Y: 0.3333 0.6667 0.1416 (multiplicity 4)

Calculated values
**DFT total energy**: -4.707 eV per atom
**Calculated volume**: 983.7 Å³/cell
**DOS at the Fermi energy**: 1.28 states/eV/atom

Below is an optimized crystal structure of Ga2CoAu, with properties calculated at the PBE-GGA level.

Unit cell a=3.9589 b=3.9589 c=14.0767 alpha=90.00 beta=90.00 gamma=120.00
Space group R3m (No. 160, hexagonal axes)
Symmetry-distinct sites (fractional):
Ga: 0.0000 0.0000 0.0000 (multiplicity 3)
Ga: 0.0000 0.0000 0.2089 (multiplicity 3)
Co: 0.0000 0.0000 0.5862 (multiplicity 3)
Au: 0.0000 0.0000 0.7764 (multiplicity 3)

Calculated values
**DFT total energy**: -4.202 eV per atom
**Energy above the most stable polymorph in this dataset**: 0.043 eV per atom
**Calculated volume**: 191.1 Å³/cell
**DOS at the Fermi energy**: 0.32 states/eV/atom